(1)
Crystalline YBeFeCo2 at its relaxed geometry, computed with PBE-GGA.

abc: 3.9789 4.7302 3.9789
angles: 90.00 90.00 90.00
Last column: magnetic moment on the atom in μB.
Atoms (fractional coordinates):
Y (0.0000, 0.5000, 0.0000)  -0.32
Be (0.0000, 0.0000, 0.0000)  -0.08
Co (0.0000, 0.0000, 0.5000)  0.63
Co (0.5000, 0.0000, 0.0000)  0.71
Fe (0.5000, 0.5000, 0.5000)  2.56

Summary:
E_form ... 3.2 eV/f.u.
Density of states at the Fermi level ... 1.413 states/eV/atom



(2)
Crystalline PuCd2Au at its relaxed geometry, computed with PBE-GGA.

abc: 5.1140 4.3486 4.3486
angles: 90.00 90.00 90.00
Last column: magnetic moment on the atom in μB.
Atoms (fractional coordinates):
Cd (0.0000, 0.0000, 0.5000)  0.01
Cd (0.0000, 0.5000, 0.0000)  0.01
Au (0.5000, 0.5000, 0.5000)  0.02
Pu (0.5000, 0.0000, 0.0000)  5.43

Summary:
E_form ... -0.4 eV/f.u.
Density of states at the Fermi level ... 3.308 states/eV/atom



(3)
Crystalline Cr2Sn2Hg at its relaxed geometry, computed with PBE-GGA.

abc: 7.4595 7.4595 3.3227
angles: 90.00 90.00 90.00
Last column: magnetic moment on the atom in μB.
Atoms (fractional coordinates):
Cr (0.3924, 0.8924, 0.0000)  0.51
Cr (0.8924, 0.6076, 0.0000)  0.50
Cr (0.6076, 0.1076, 0.0000)  0.51
Cr (0.1076, 0.3924, 0.0000)  0.50
Hg (0.0000, 0.0000, 0.0000)  -0.01
Hg (0.5000, 0.5000, 0.0000)  -0.01
Sn (0.1793, 0.6793, 0.5000)  -0.04
Sn (0.6793, 0.8207, 0.5000)  -0.04
Sn (0.8207, 0.3207, 0.5000)  -0.04
Sn (0.3207, 0.1793, 0.5000)  -0.03

Summary:
E_form ... 2.1 eV/f.u.
Density of states at the Fermi level ... 0.816 states/eV/atom



(4)
Crystalline TaFeSe2 at its relaxed geometry, computed with PBE-GGA.

abc: 5.7836 5.7836 6.7518
angles: 64.64 64.64 90.00
Last column: magnetic moment on the atom in μB.
Atoms (fractional coordinates):
Fe (0.5000, 0.5000, 0.0000)  2.48
Fe (0.2500, 0.7500, 0.5000)  2.48
Se (0.6038, 0.1250, 0.2500)  0.02
Se (0.1462, 0.6250, 0.2500)  0.02
Se (0.3750, 0.3962, 0.7500)  0.02
Se (0.8750, 0.8538, 0.7500)  0.02
Ta (0.0000, 0.0000, 0.0000)  -0.95
Ta (0.7500, 0.2500, 0.5000)  -0.95

Summary:
Density of states at the Fermi level ... 1.400 states/eV/atom
ΔE_f (raw) ... 0.11 eV/atom
Distance to the lowest polymorph of the same formula ... 634 meV per atom



no.,total moment (μB per cell)
1,3.18
2,5.85
3,1.93
4,2.41